# GGA-PBE Tb4Ir2Au, relaxed
# Formation energy from the elements ... -760 meV/atom
# M_tot ... 0.0 μB/cell
# Crystal system ... orthorhombic
data_Tb4Ir2Au
_cell_length_a 7.593
_cell_length_b 7.571
_cell_length_c 8.784
_cell_angle_alpha 54.72
_cell_angle_beta 54.49
_cell_angle_gamma 70.80
_space_group_name_H-M_alt 'P 1'
_space_group_IT_number 1
loop_
_space_group_symop_operation_xyz
'x,y,z'
loop_
_atom_site_label
_atom_site_type_symbol
_atom_site_fract_x
_atom_site_fract_y
_atom_site_fract_z
Tb1 Tb 0.073 0.209 0.039
Tb2 Tb 0.209 0.073 0.679
Tb3 Tb 0.211 0.571 0.177
Tb4 Tb 0.320 0.680 0.435
Tb5 Tb 0.571 0.211 0.041
Tb6 Tb 0.680 0.320 0.565
Tb7 Tb 0.685 0.815 0.570
Tb8 Tb 0.815 0.685 0.930
Ir1 Ir 0.316 0.575 0.805
Ir2 Ir 0.445 0.947 0.934
Ir3 Ir 0.575 0.316 0.303
Ir4 Ir 0.947 0.445 0.675
Au1 Au 0.072 0.072 0.428
Au2 Au 0.822 0.822 0.178